#a
The following is a DFT calculation (PBE) of a relaxed LiYF3 crystal.

The value obtained for the calculated volume is 55.1 Å³ per cell. The magnetic moment is 0.00 μB per formula unit. For the density of states at the Fermi level, the calculation gives 2.1 states/eV per cell. Its space-group type is Pm-3m (221).

Cell: 3.8049 3.8049 3.8049 Å, 90.00 90.00 90.00°
With the nearest neighbours (Å) after each atom.
Sites, in units of the cell vectors:
F  0.5000  0.0000  0.0000  2 Li 1.90
F  0.0000  0.0000  0.5000  2 Li 1.90
F  0.0000  0.5000  0.0000  2 Li 1.90
Li  0.0000  0.0000  0.0000  6 F 1.90
Y  0.5000  0.5000  0.5000  12 F 2.69

=====

#b
The following is a DFT calculation (PBE) of a relaxed LiYF3 crystal.

The value obtained for the calculated volume is 89.6 Å³ per cell. The magnetic moment is 0.00 μB per formula unit. For the density of states at the Fermi level, the calculation gives 1.2 states/eV per cell. Its space-group type is Pm-3m (221).

Cell: 4.4742 4.4742 4.4742 Å, 90.00 90.00 90.00°
With the nearest neighbours (Å) after each atom.
Sites, in units of the cell vectors:
Y  0.0000  0.0000  0.0000  6 F 2.24
F  0.0000  0.5000  0.0000  2 Y 2.24
F  0.0000  0.0000  0.5000  2 Y 2.24
F  0.5000  0.0000  0.0000  2 Y 2.24
Li  0.5000  0.5000  0.5000  12 F 3.16

=====

#b is the most stable structure shown above.